Entry 1:
First-principles (PBE-GGA) data for crystalline Sr2PSe5 at its relaxed geometry, as listed in the Alexandria database.

Cell and atoms, written as extended XYZ:
```
8
Lattice="-3.6489 3.6489 3.9868 3.6489 -3.6489 3.9868 3.6489 3.6489 -3.9868" Properties=species:S:1:pos:R:3 pbc="T T T"
Sr 3.6489 0.0000 0.0000
Sr 0.0000 3.6489 0.0000
P 0.0000 0.0000 2.5477
Se 1.9475 1.9475 -2.0290
Se 1.7014 -1.7014 1.9578
Se -1.7014 1.7014 1.9578
Se 1.7014 1.7014 1.9578
Se 0.0000 0.0000 4.9972
```

Calculated values
E_form (uncorrected) = -0.91 eV per atom
SG = No. 107
Fermi-level density of states = 2.4 states/eV/cell
volume = 212.3 Å³/f.u.
final energy = -4.189 eV/atom
ρ = 4.70 g/cm3
size of the total moment = 0.00 μB/atom

***

Entry 2:
First-principles (PBE-GGA) data for crystalline YSbP2 at its relaxed geometry, as listed in the Alexandria database.

Cell and atoms, written as extended XYZ:
```
4
Lattice="-1.9538 2.6599 4.0765 1.9538 -2.6599 4.0765 1.9538 2.6599 -4.0765" Properties=species:S:1:pos:R:3 pbc="T T T"
Y 0.0000 0.0000 0.0000
Sb 0.0000 0.0000 4.0765
P 1.9538 0.0000 2.2063
P 0.0000 2.6599 1.8702
```

Calculated values
E_form (uncorrected) = -0.35 eV per atom
SG = No. 71
Fermi-level density of states = 1.9 states/eV/cell
volume = 84.7 Å³/f.u.
final energy = -5.698 eV/atom
ρ = 5.34 g/cm3
size of the total moment = 0.00 μB/atom

***

Entry 3:
First-principles (PBE-GGA) data for crystalline Mg2AgBr at its relaxed geometry, as listed in the Alexandria database.

Cell and atoms, written as extended XYZ:
```
4
Lattice="3.4496 0.0000 0.0000 0.0000 4.4618 0.0000 0.0000 0.0000 6.4565" Properties=species:S:1:pos:R:3 pbc="T T T"
Mg 0.0000 0.0000 0.0000
Mg 1.7248 0.0000 3.2282
Ag 0.0000 2.2309 3.2282
Br 1.7248 2.2309 0.0000
```

Calculated values
E_form (uncorrected) = -0.13 eV per atom
SG = No. 47
Fermi-level density of states = 1.7 states/eV/cell
volume = 99.4 Å³/f.u.
final energy = -2.054 eV/atom
ρ = 3.95 g/cm3
size of the total moment = 0.00 μB/atom

***

Which of these has the highest final energy?
Mg2AgBr

***

Among the records above, which one has the highest final energy?
Mg2AgBr

***

What is the volume in the first record?
212.3 Å³/f.u.